# 1
Here is an optimized crystal structure of Cd2SeSCl from Alexandria. Energies are from GGA-PBE.

Cell lengths 5.3709, 5.3709, 4.7373 Å; angles 90.00, 90.00, 90.00 degrees
Closest atoms and distances in Å follow each position.
Element x y z (fractional)
Cd 0.0000 0.5000 0.0000  2 Se 2.69
Cd 0.5000 0.0000 0.0000  2 Se 2.69
Se 0.0000 0.0000 0.0000  2 Cl 2.37
S 0.5000 0.5000 0.5000  8 Cd 3.58, 4 Cl 3.80
Cl 0.0000 0.0000 0.5000  2 Se 2.37

Output
As for the space group: P4/mmm (123). The density of states at the Fermi level is 0.403 states/eV per atom. The uncorrected formation energy is 0.207 eV/atom. Its total moment is 0.000 Bohr magnetons per cell.

# 2
Here is an optimized crystal structure of CdSeS2Cl from Alexandria. Energies are from GGA-PBE.

Cell lengths 4.9236, 4.9236, 4.7999 Å; angles 90.00, 90.00, 90.00 degrees
Closest atoms and distances in Å follow each position.
Element x y z (fractional)
Cd 0.0000 0.0000 0.0000  8 S 3.44, 4 Cl 3.48
Se 0.5000 0.5000 0.5000  2 Cl 2.40, 4 S 2.46
S 0.0000 0.5000 0.5000  2 Se 2.46
S 0.5000 0.0000 0.5000  2 Se 2.46
Cl 0.5000 0.5000 0.0000  2 Se 2.40

Output
As for the space group: P4/mmm (123). The density of states at the Fermi level is 0.366 states/eV per atom. The calculation puts the energy above the most stable polymorph in this dataset at 0.000 eV/atom. The uncorrected formation energy is 0.271 eV/atom. Its total moment is 0.000 Bohr magnetons per cell.

# 3
Here is an optimized crystal structure of CdSeS2Cl from Alexandria. Energies are from GGA-PBE.

Cell lengths 5.0581, 5.0581, 4.9131 Å; angles 90.00, 90.00, 90.00 degrees
Closest atoms and distances in Å follow each position.
Element x y z (fractional)
Cd 0.0000 0.0000 0.0000  2 Cl 2.46, 4 S 2.53
Se 0.5000 0.5000 0.5000  8 S 3.53, 4 Cl 3.58
S 0.0000 0.5000 0.0000  2 Cd 2.53
S 0.5000 0.0000 0.0000  2 Cd 2.53
Cl 0.0000 0.0000 0.5000  2 Cd 2.46

Output
As for the space group: P4/mmm (123). The density of states at the Fermi level is 1.046 states/eV per atom. The calculation puts the energy above the most stable polymorph in this dataset at 0.381 eV/atom. The uncorrected formation energy is 0.651 eV/atom. Its total moment is 0.000 Bohr magnetons per cell.

# 4
Here is an optimized crystal structure of SrCdS2Cl from Alexandria. Energies are from GGA-PBE.

Cell lengths 5.6862, 5.6862, 5.4499 Å; angles 90.00, 90.00, 90.00 degrees
Closest atoms and distances in Å follow each position.
Element x y z (fractional)
Sr 0.0000 0.0000 0.0000  2 Cl 2.72, 4 S 2.84
Cd 0.5000 0.5000 0.5000  8 S 3.94, 4 Cl 4.02
S 0.0000 0.5000 0.0000  2 Sr 2.84
S 0.5000 0.0000 0.0000  2 Sr 2.84
Cl 0.0000 0.0000 0.5000  2 Sr 2.72

Output
As for the space group: P4/mmm (123). The density of states at the Fermi level is 1.047 states/eV per atom. The calculation puts the energy above the most stable polymorph in this dataset at 0.622 eV/atom. The uncorrected formation energy is -0.295 eV/atom. Its total moment is 1.436 Bohr magnetons per cell.

# 5
Here is an optimized crystal structure of SrCdS2Cl from Alexandria. Energies are from GGA-PBE.

Cell lengths 4.9947, 4.9947, 5.2990 Å; angles 90.00, 90.00, 90.00 degrees
Closest atoms and distances in Å follow each position.
Element x y z (fractional)
Sr 0.0000 0.0000 0.0000  4 Cl 3.53, 8 S 3.64
Cd 0.5000 0.5000 0.5000  4 S 2.50, 2 Cl 2.65
S 0.0000 0.5000 0.5000  2 Cd 2.50
S 0.5000 0.0000 0.5000  2 Cd 2.50
Cl 0.5000 0.5000 0.0000  2 Cd 2.65

Output
As for the space group: P4/mmm (123). The density of states at the Fermi level is 0.570 states/eV per atom. The calculation puts the energy above the most stable polymorph in this dataset at 0.000 eV/atom. The uncorrected formation energy is -0.917 eV/atom. Its total moment is 0.000 Bohr magnetons per cell.

# 6
Here is an optimized crystal structure of CdTcS2Cl from Alexandria. Energies are from GGA-PBE.

Cell lengths 4.9709, 4.9709, 5.0758 Å; angles 90.00, 90.00, 90.00 degrees
Closest atoms and distances in Å follow each position.
Element x y z (fractional)
Cd 0.0000 0.0000 0.0000  4 S 2.49, 2 Cl 2.54
Tc 0.5000 0.5000 0.5000  4 Cl 3.51, 8 S 3.55
S 0.0000 0.5000 0.0000  2 Cd 2.49
S 0.5000 0.0000 0.0000  2 Cd 2.49
Cl 0.0000 0.0000 0.5000  2 Cd 2.54

Output
As for the space group: P4/mmm (123). The density of states at the Fermi level is 0.499 states/eV per atom. The calculation puts the energy above the most stable polymorph in this dataset at 0.849 eV/atom. The uncorrected formation energy is 0.829 eV/atom. Its total moment is 4.685 Bohr magnetons per cell.

# 7
Here is an optimized crystal structure of CdTcS2Cl from Alexandria. Energies are from GGA-PBE.

Cell lengths 4.6004, 4.6004, 5.0595 Å; angles 90.00, 90.00, 90.00 degrees
Closest atoms and distances in Å follow each position.
Element x y z (fractional)
Cd 0.0000 0.0000 0.0000  4 Cl 3.25, 8 S 3.42
Tc 0.5000 0.5000 0.5000  4 S 2.30, 2 Cl 2.53
S 0.0000 0.5000 0.5000  2 Tc 2.30
S 0.5000 0.0000 0.5000  2 Tc 2.30
Cl 0.5000 0.5000 0.0000  2 Tc 2.53

Output
As for the space group: P4/mmm (123). The density of states at the Fermi level is 0.729 states/eV per atom. The calculation puts the energy above the most stable polymorph in this dataset at 0.000 eV/atom. The uncorrected formation energy is -0.020 eV/atom. Its total moment is 0.000 Bohr magnetons per cell.

# 8
Here is an optimized crystal structure of TiCdSCl2 from Alexandria. Energies are from GGA-PBE.

Cell lengths 5.0146, 5.0146, 5.2015 Å; angles 90.00, 90.00, 90.00 degrees
Closest atoms and distances in Å follow each position.
Element x y z (fractional)
Ti 0.0000 0.0000 0.0000  4 S 3.55, 8 Cl 3.61
Cd 0.5000 0.5000 0.5000  4 Cl 2.51, 2 S 2.60
S 0.5000 0.5000 0.0000  2 Cd 2.60
Cl 0.0000 0.5000 0.5000  2 Cd 2.51
Cl 0.5000 0.0000 0.5000  2 Cd 2.51

Output
As for the space group: P4/mmm (123). The density of states at the Fermi level is 0.115 states/eV per atom. The calculation puts the energy above the most stable polymorph in this dataset at 0.751 eV/atom. The uncorrected formation energy is -0.074 eV/atom. Its total moment is 2.007 Bohr magnetons per cell.

# 9
Here is an optimized crystal structure of TiCdSCl2 from Alexandria. Energies are from GGA-PBE.

Cell lengths 4.8699, 4.8699, 4.7666 Å; angles 90.00, 90.00, 90.00 degrees
Closest atoms and distances in Å follow each position.
Element x y z (fractional)
Ti 0.0000 0.0000 0.0000  2 S 2.38, 4 Cl 2.43
Cd 0.5000 0.5000 0.5000  8 Cl 3.41, 4 S 3.44
S 0.0000 0.0000 0.5000  2 Ti 2.38
Cl 0.0000 0.5000 0.0000  2 Ti 2.43
Cl 0.5000 0.0000 0.0000  2 Ti 2.43

Output
As for the space group: P4/mmm (123). The density of states at the Fermi level is 0.892 states/eV per atom. The calculation puts the energy above the most stable polymorph in this dataset at 0.000 eV/atom. The uncorrected formation energy is -0.825 eV/atom. Its total moment is 0.000 Bohr magnetons per cell.

# 10
Here is an optimized crystal structure of VCdS2Cl from Alexandria. Energies are from GGA-PBE.

Cell lengths 4.9893, 4.9893, 5.0053 Å; angles 90.00, 90.00, 90.00 degrees
Closest atoms and distances in Å follow each position.
Element x y z (fractional)
V 0.0000 0.0000 0.0000  4 Cl 3.53, 8 S 3.53
Cd 0.5000 0.5000 0.5000  4 S 2.49, 2 Cl 2.50
S 0.0000 0.5000 0.5000  2 Cd 2.49
S 0.5000 0.0000 0.5000  2 Cd 2.49
Cl 0.5000 0.5000 0.0000  2 Cd 2.50

Output
As for the space group: P4/mmm (123). The density of states at the Fermi level is 1.150 states/eV per atom. The calculation puts the energy above the most stable polymorph in this dataset at 0.863 eV/atom. The uncorrected formation energy is 0.492 eV/atom. Its total moment is 2.616 Bohr magnetons per cell.

# 11
Here is an optimized crystal structure of VCdSCl2 from Alexandria. Energies are from GGA-PBE.

Cell lengths 4.8582, 4.8582, 4.6724 Å; angles 90.00, 90.00, 90.00 degrees
Closest atoms and distances in Å follow each position.
Element x y z (fractional)
V 0.0000 0.0000 0.0000  2 S 2.34, 4 Cl 2.43
Cd 0.5000 0.5000 0.5000  8 Cl 3.37, 4 S 3.44
S 0.0000 0.0000 0.5000  2 V 2.34
Cl 0.0000 0.5000 0.0000  2 V 2.43
Cl 0.5000 0.0000 0.0000  2 V 2.43

Output
As for the space group: P4/mmm (123). The density of states at the Fermi level is 0.343 states/eV per atom. The calculation puts the energy above the most stable polymorph in this dataset at 0.000 eV/atom. The uncorrected formation energy is -0.557 eV/atom. Its total moment is 2.168 Bohr magnetons per cell.

# 12
Here is an optimized crystal structure of VCdSCl2 from Alexandria. Energies are from GGA-PBE.

Cell lengths 5.0012, 5.0012, 5.2383 Å; angles 90.00, 90.00, 90.00 degrees
Closest atoms and distances in Å follow each position.
Element x y z (fractional)
V 0.0000 0.0000 0.0000  4 S 3.54, 8 Cl 3.62
Cd 0.5000 0.5000 0.5000  4 Cl 2.50, 2 S 2.62
S 0.5000 0.5000 0.0000  2 Cd 2.62
Cl 0.0000 0.5000 0.5000  2 Cd 2.50
Cl 0.5000 0.0000 0.5000  2 Cd 2.50

Output
As for the space group: P4/mmm (123). The density of states at the Fermi level is 0.217 states/eV per atom. The calculation puts the energy above the most stable polymorph in this dataset at 0.686 eV/atom. The uncorrected formation energy is 0.129 eV/atom. Its total moment is 3.070 Bohr magnetons per cell.

# 13
Here is an optimized crystal structure of VCdS2Cl from Alexandria. Energies are from GGA-PBE.

Cell lengths 4.6398, 4.6398, 4.8410 Å; angles 90.00, 90.00, 90.00 degrees
Closest atoms and distances in Å follow each position.
Element x y z (fractional)
V 0.0000 0.0000 0.0000  4 S 2.32, 2 Cl 2.42
Cd 0.5000 0.5000 0.5000  4 Cl 3.28, 8 S 3.35
S 0.0000 0.5000 0.0000  2 V 2.32
S 0.5000 0.0000 0.0000  2 V 2.32
Cl 0.0000 0.0000 0.5000  2 V 2.42

Output
As for the space group: P4/mmm (123). The density of states at the Fermi level is 0.592 states/eV per atom. The calculation puts the energy above the most stable polymorph in this dataset at 0.000 eV/atom. The uncorrected formation energy is -0.371 eV/atom. Its total moment is 1.436 Bohr magnetons per cell.

# 14
Here is an optimized crystal structure of CdWS2Cl from Alexandria. Energies are from GGA-PBE.

Cell lengths 4.7017, 4.7017, 4.9284 Å; angles 90.00, 90.00, 90.00 degrees
Closest atoms and distances in Å follow each position.
Element x y z (fractional)
Cd 0.0000 0.0000 0.0000  4 Cl 3.32, 8 S 3.41
W 0.5000 0.5000 0.5000  4 S 2.35, 2 Cl 2.46
S 0.0000 0.5000 0.5000  2 W 2.35
S 0.5000 0.0000 0.5000  2 W 2.35
Cl 0.5000 0.5000 0.0000  2 W 2.46

Output
As for the space group: P4/mmm (123). The density of states at the Fermi level is 0.923 states/eV per atom. The calculation puts the energy above the most stable polymorph in this dataset at 0.000 eV/atom. The uncorrected formation energy is -0.049 eV/atom. Its total moment is 0.000 Bohr magnetons per cell.